w.
Entry from the Alexandria database: a relaxed KMnFe2 crystal (PBE).

Computed properties:
* calculated volume: 70.21 Å³ per cell
* symmetry: F-43m (216)

Unit cell a=4.631 b=4.631 c=4.631 alpha=60.00 beta=60.00 gamma=60.00
Fractional positions:
Fe 0.000 0.000 0.000
Fe 0.250 0.250 0.250
K 0.500 0.500 0.500
Mn 0.750 0.750 0.750

***

x.
Entry from the Alexandria database: a relaxed KMnFe2 crystal (PBE).

Computed properties:
* calculated volume: 67.45 Å³ per cell
* symmetry: Cmmm (65)

Unit cell a=5.338 b=5.338 c=2.648 alpha=90.00 beta=90.00 gamma=116.62
Fractional positions:
Fe 0.000 0.000 0.000
Fe 0.500 0.500 0.000
K 0.500 0.000 0.500
Mn 0.000 0.500 0.500

***

What are the relative energies? In meV per atom: w 130; x 0.

***

w.
Entry from the Alexandria database: a relaxed KMnFe2 crystal (PBE).

Computed properties:
* calculated volume: 81.51 Å³ per cell
* symmetry: Cm (8)

Unit cell a=4.248 b=4.248 c=7.321 alpha=86.36 beta=86.36 gamma=38.20
Fractional positions:
Fe 0.001 0.001 0.984
Fe 0.733 0.733 0.859
K 0.500 0.500 0.511
Mn 0.266 0.266 0.145

***

x.
Entry from the Alexandria database: a relaxed KMnFe2 crystal (PBE).

Computed properties:
* calculated volume: 76.58 Å³ per cell
* symmetry: Imm2 (44)

Unit cell a=5.893 b=5.893 c=5.893 alpha=152.59 beta=124.97 gamma=62.56
Fractional positions:
Fe 0.985 0.985 0.000
Fe 0.799 0.299 0.500
K 0.509 0.509 0.000
Mn 0.207 0.707 0.500

***

y.
Entry from the Alexandria database: a relaxed KMnFe2 crystal (PBE).

Computed properties:
* calculated volume: 70.04 Å³ per cell
* symmetry: P4/mmm (123)

Unit cell a=4.196 b=4.085 c=4.085 alpha=90.00 beta=90.00 gamma=90.00
Fractional positions:
Fe 0.000 0.000 0.000
Fe 0.000 0.500 0.500
K 0.500 0.500 0.000
Mn 0.500 0.000 0.500

***

What are the relative energies? In meV per atom: w 0; x 269; y 578.

***

w.
Entry from the Alexandria database: a relaxed KMnFe2 crystal (PBE).

Computed properties:
* calculated volume: 76.45 Å³ per cell
* symmetry: P4mm (99)

Unit cell a=3.045 b=3.045 c=8.245 alpha=90.00 beta=90.00 gamma=90.00
Fractional positions:
Fe 0.000 0.000 0.016
Fe 0.500 0.500 0.155
K 0.000 0.000 0.489
Mn 0.500 0.500 0.840

***

x.
Entry from the Alexandria database: a relaxed KMnFe2 crystal (PBE).

Computed properties:
* calculated volume: 71.62 Å³ per cell
* symmetry: P2/m (10)

Unit cell a=3.519 b=2.642 c=8.041 alpha=73.32 beta=90.00 gamma=90.00
Fractional positions:
Fe 0.000 0.118 0.900
Fe 0.000 0.382 0.600
K 0.500 0.250 0.250
Mn 0.500 0.750 0.750

***

y.
Entry from the Alexandria database: a relaxed KMnFe2 crystal (PBE).

Computed properties:
* calculated volume: 64.12 Å³ per cell
* symmetry: P4/mmm (123)

Unit cell a=2.666 b=2.666 c=9.019 alpha=90.00 beta=90.00 gamma=90.00
Fractional positions:
Fe 0.000 0.000 0.927
Fe 0.000 0.000 0.573
K 0.500 0.500 0.250
Mn 0.500 0.500 0.750

***

What are the relative energies? In meV per atom: w 0; x 73; y 146.

***

w.
Entry from the Alexandria database: a relaxed KFe2Mo crystal (PBE).

Computed properties:
* calculated volume: 80.95 Å³ per cell
* symmetry: P2/m (10)

Unit cell a=4.110 b=2.684 c=7.426 alpha=81.14 beta=90.00 gamma=90.00
Fractional positions:
Fe 0.000 0.053 0.896
Fe 0.000 0.447 0.604
K 0.500 0.250 0.250
Mo 0.500 0.750 0.750

***

x.
Entry from the Alexandria database: a relaxed KFe2Mo crystal (PBE).

Computed properties:
* calculated volume: 61.40 Å³ per cell
* symmetry: Fm-3m (225)

Unit cell a=4.428 b=4.428 c=4.428 alpha=60.00 beta=60.00 gamma=60.00
Fractional positions:
K 0.000 0.000 0.000
Mo 0.500 0.500 0.500
Fe 0.250 0.250 0.250
Fe 0.750 0.750 0.750

***

y.
Entry from the Alexandria database: a relaxed KFe2Mo crystal (PBE).

Computed properties:
* calculated volume: 150.83 Å³ per cell
* symmetry: I-42d (122)

Unit cell a=7.016 b=7.016 c=5.831 alpha=53.02 beta=53.02 gamma=90.00
Fractional positions:
K 0.500 0.500 0.000
K 0.250 0.750 0.500
Mo 0.000 0.000 0.000
Mo 0.750 0.250 0.500
Fe 0.692 0.125 0.250
Fe 0.058 0.625 0.250
Fe 0.375 0.308 0.750
Fe 0.875 0.942 0.750

***

What are the relative energies? In meV per atom: w 0; x 845; y 802.

***

w.
Entry from the Alexandria database: a relaxed KFe2Mo crystal (PBE).

Computed properties:
* calculated volume: 70.90 Å³ per cell
* symmetry: Imm2 (44)

Unit cell a=5.916 b=5.916 c=5.916 alpha=154.36 beta=127.20 gamma=59.60
Fractional positions:
Fe 0.989 0.989 0.000
Fe 0.797 0.297 0.500
K 0.508 0.508 0.000
Mo 0.206 0.706 0.500

***

x.
Entry from the Alexandria database: a relaxed KFe2Mo crystal (PBE).

Computed properties:
* calculated volume: 68.57 Å³ per cell
* symmetry: P4/mmm (123)

Unit cell a=5.125 b=5.125 c=2.611 alpha=90.00 beta=90.00 gamma=90.00
Fractional positions:
Fe 0.000 0.000 0.000
Fe 0.500 0.500 0.000
K 0.500 0.000 0.500
Mo 0.000 0.500 0.500

***

What are the relative energies? In meV per atom: w 0; x 136.

***

w.
Entry from the Alexandria database: a relaxed KFe2Mo crystal (PBE).

Computed properties:
* calculated volume: 78.76 Å³ per cell
* symmetry: Immm (71)

Unit cell a=5.912 b=5.912 c=5.912 alpha=152.87 beta=122.50 gamma=64.71
Fractional positions:
Fe 0.044 0.044 0.000
Fe 0.456 0.456 0.000
K 0.750 0.250 0.500
Mo 0.250 0.750 0.500

***

x.
Entry from the Alexandria database: a relaxed KFe2Mo crystal (PBE).

Computed properties:
* calculated volume: 71.12 Å³ per cell
* symmetry: R-3m (166)

Unit cell a=9.757 b=9.757 c=9.757 alpha=17.23 beta=17.23 gamma=17.23
Fractional positions:
Fe 0.017 0.017 0.017
Fe 0.483 0.483 0.483
K 0.250 0.250 0.250
Mo 0.750 0.750 0.750

***

What are the relative energies? In meV per atom: w 488; x 0.

***

w.
Entry from the Alexandria database: a relaxed KFe2Mo crystal (PBE).

Computed properties:
* calculated volume: 82.71 Å³ per cell
* symmetry: Cm (8)

Unit cell a=4.249 b=4.249 c=7.618 alpha=87.05 beta=87.05 gamma=37.03
Fractional positions:
Fe 0.005 0.005 0.990
Fe 0.729 0.729 0.854
K 0.497 0.497 0.515
Mo 0.269 0.269 0.141

***

x.
Entry from the Alexandria database: a relaxed KFe2Mo crystal (PBE).

Computed properties:
* calculated volume: 68.71 Å³ per cell
* symmetry: Pmmm (47)

Unit cell a=2.609 b=5.304 c=4.966 alpha=90.00 beta=90.00 gamma=90.00
Fractional positions:
Fe 0.000 0.000 0.000
Fe 0.500 0.500 0.000
K 0.500 0.000 0.500
Mo 0.000 0.500 0.500

***

y.
Entry from the Alexandria database: a relaxed KFe2Mo crystal (PBE).

Computed properties:
* calculated volume: 78.74 Å³ per cell
* symmetry: Pm (6)

Unit cell a=3.584 b=2.726 c=8.966 alpha=63.99 beta=90.00 gamma=90.00
Fractional positions:
Fe 0.000 0.908 0.014
Fe 0.500 0.214 0.148
K 0.000 0.743 0.482
Mo 0.500 0.635 0.856

***

What are the relative energies? In meV per atom: w 116; x 782; y 0.

***

w.
Entry from the Alexandria database: a relaxed KFeMo crystal (PBE).

Computed properties:
* calculated volume: 58.78 Å³ per cell
* symmetry: Fmm2 (42)

Unit cell a=8.215 b=8.044 c=2.822 alpha=83.46 beta=76.59 gamma=19.95
Fractional positions:
Fe 0.023 0.023 0.977
K 0.339 0.339 0.661
Mo 0.638 0.638 0.362

***

x.
Entry from the Alexandria database: a relaxed KFeMo crystal (PBE).

Computed properties:
* calculated volume: 65.90 Å³ per cell
* symmetry: F-43m (216)

Unit cell a=4.534 b=4.534 c=4.534 alpha=60.00 beta=60.00 gamma=60.00
Fractional positions:
Fe 0.250 0.250 0.250
K 0.000 0.000 0.000
Mo 0.500 0.500 0.500

***

What are the relative energies? In meV per atom: w 0; x 940.

***

w.
Entry from the Alexandria database: a relaxed KFeMo crystal (PBE).

Computed properties:
* calculated volume: 68.14 Å³ per cell
* symmetry: Imm2 (44)

Unit cell a=6.769 b=6.769 c=6.769 alpha=153.82 beta=150.07 gamma=40.18
Fractional positions:
Fe 0.065 0.065 0.000
K 0.335 0.335 0.000
Mo 0.600 0.600 0.000

***

x.
Entry from the Alexandria database: a relaxed KFeMo crystal (PBE).

Computed properties:
* calculated volume: 57.14 Å³ per cell
* symmetry: P-6m2 (187)

Unit cell a=5.068 b=5.068 c=2.569 alpha=90.00 beta=90.00 gamma=120.00
Fractional positions:
Fe 0.000 0.000 0.000
K 0.667 0.333 0.500
Mo 0.333 0.667 0.500

***

y.
Entry from the Alexandria database: a relaxed KFeMo crystal (PBE).

Computed properties:
* calculated volume: 84.95 Å³ per cell
* symmetry: F-43m (216)

Unit cell a=4.934 b=4.934 c=4.934 alpha=60.00 beta=60.00 gamma=60.00
Fractional positions:
Fe 0.500 0.500 0.500
K 0.250 0.250 0.250
Mo 0.000 0.000 0.000

***

z.
Entry from the Alexandria database: a relaxed KFeMo crystal (PBE).

Computed properties:
* calculated volume: 70.23 Å³ per cell
* symmetry: P3m1 (156)

Unit cell a=3.292 b=3.292 c=7.485 alpha=90.00 beta=90.00 gamma=120.00
Fractional positions:
Fe 0.000 0.000 0.925
K 0.667 0.333 0.314
Mo 0.333 0.667 0.761

***

What are the relative energies? In meV per atom: w 0; x 570; y 1777; z 30.

***

w.
Entry from the Alexandria database: a relaxed KFeMo2 crystal (PBE).

Computed properties:
* calculated volume: 73.53 Å³ per cell
* symmetry: Cmm2 (35)

Unit cell a=2.770 b=2.770 c=10.181 alpha=90.00 beta=90.00 gamma=109.77
Fractional positions:
Fe 0.000 0.000 0.452
K 0.500 0.500 0.739
Mo 0.000 0.000 0.049
Mo 0.500 0.500 0.260

***

x.
Entry from the Alexandria database: a relaxed KFeMo2 crystal (PBE).

Computed properties:
* calculated volume: 71.66 Å³ per cell
* symmetry: R-3m (166)

Unit cell a=10.559 b=10.559 c=10.559 alpha=15.33 beta=15.33 gamma=15.33
Fractional positions:
Fe 0.250 0.250 0.250
K 0.750 0.750 0.750
Mo 0.982 0.982 0.982
Mo 0.518 0.518 0.518

***

y.
Entry from the Alexandria database: a relaxed KFeMo2 crystal (PBE).

Computed properties:
* calculated volume: 74.79 Å³ per cell
* symmetry: Immm (71)

Unit cell a=6.277 b=6.277 c=6.277 alpha=156.30 beta=130.90 gamma=55.22
Fractional positions:
Fe 0.750 0.250 0.500
K 0.250 0.750 0.500
Mo 0.958 0.958 0.000
Mo 0.542 0.542 0.000

***

What are the relative energies? In meV per atom: w 0; x 170; y 302.

***

w.
Entry from the Alexandria database: a relaxed KFeMo2 crystal (PBE).

Computed properties:
* calculated volume: 74.33 Å³ per cell
* symmetry: R3m (160)

Unit cell a=10.311 b=10.311 c=10.311 alpha=16.19 beta=16.19 gamma=16.19
Fractional positions:
Fe 0.517 0.517 0.517
K 0.754 0.754 0.754
Mo 0.985 0.985 0.985
Mo 0.244 0.244 0.244

***

x.
Entry from the Alexandria database: a relaxed KFeMo2 crystal (PBE).

Computed properties:
* calculated volume: 87.49 Å³ per cell
* symmetry: Pm (6)

Unit cell a=4.229 b=2.697 c=7.687 alpha=86.21 beta=90.00 gamma=90.00
Fractional positions:
Fe 0.000 0.587 0.396
K 0.500 0.743 0.739
Mo 0.000 0.944 0.102
Mo 0.500 0.226 0.263

***

y.
Entry from the Alexandria database: a relaxed KFeMo2 crystal (PBE).

Computed properties:
* calculated volume: 70.79 Å³ per cell
* symmetry: F-43m (216)

Unit cell a=4.643 b=4.643 c=4.643 alpha=60.00 beta=60.00 gamma=60.00
Fractional positions:
Fe 0.500 0.500 0.500
K 0.750 0.750 0.750
Mo 0.000 0.000 0.000
Mo 0.250 0.250 0.250

***

z.
Entry from the Alexandria database: a relaxed KFeMo2 crystal (PBE).

Computed properties:
* calculated volume: 73.38 Å³ per cell
* symmetry: Pmmm (47)

Unit cell a=2.608 b=5.174 c=5.438 alpha=90.00 beta=90.00 gamma=90.00
Fractional positions:
Fe 0.500 0.000 0.500
K 0.000 0.500 0.500
Mo 0.000 0.000 0.000
Mo 0.500 0.500 0.000

***

What are the relative energies? In meV per atom: w 100; x 0; y 677; z 618.